An optimized crystal structure of Ca2GaAsPt6. Source: Alexandria via LeMat-Bulk, functional GGA-PBE.

electronic total energy: -0.187 Ha/atom
M_tot: 0.00 μB/f.u.
N(E_F): 21.76 states/eV/cell

a b c (Å): 9.4653 9.4653 9.4653
angles (deg): 90.00 90.00 90.00
With the nearest neighbours (Å) after each atom.
Space group Fm-3m (No. 225)
One atom of each set of equivalent atoms:
Ca: 0.2500 0.2500 0.2500 (multiplicity 8)  12 Pt 3.35
Ga: 0.0000 0.0000 0.0000 (multiplicity 4)  6 Pt 2.38
As: 0.0000 0.0000 0.5000 (multiplicity 4)  6 Pt 2.35
Pt: 0.0000 0.0000 0.2515 (multiplicity 24)  1 As 2.35, 1 Ga 2.38



An optimized crystal structure of MgSnHg2I. Source: Alexandria via LeMat-Bulk, functional GGA-PBE.

electronic total energy: -0.055 Ha/atom
formation energy without anion corrections: 49 meV per atom
M_tot: 0.00 μB/f.u.
N(E_F): 2.84 states/eV/cell

a b c (Å): 5.4555 5.4555 5.7435
angles (deg): 90.00 90.00 90.00
With the nearest neighbours (Å) after each atom.
Space group P4/mmm (No. 123)
One atom of each set of equivalent atoms:
Mg: 0.0000 0.0000 0.0000 (multiplicity 1)  4 Hg 2.73, 2 Sn 2.87
Sn: 0.0000 0.0000 0.5000 (multiplicity 1)  2 Mg 2.87
Hg: 0.0000 0.5000 0.0000 (multiplicity 2)  2 Mg 2.73
I: 0.5000 0.5000 0.5000 (multiplicity 1)  4 Sn 3.86, 8 Hg 3.96